Version a
Entry from Alexandria: a geometry-optimized Tc2As structure (PBEsol).

Cell lengths 2.9927, 4.6728, 6.9210 Å; angles 109.54, 90.00, 108.68 degrees
Closest atoms and distances in Å follow each position.
Positions (direct):
As 0.9757 0.9515 0.2092  5 Tc 2.48-2.67
As 0.0243 0.0485 0.7908  5 Tc 2.48-2.67
Tc 0.6481 0.2961 0.5313  6 Tc 2.50-2.79, 2 As 2.67
Tc 0.3184 0.6368 0.8546  3 As 2.48-2.52, 2 Tc 2.67
Tc 0.6816 0.3632 0.1454  3 As 2.48-2.52, 2 Tc 2.67
Tc 0.3519 0.7039 0.4687  6 Tc 2.50-2.79, 2 As 2.67

Space group: C2/m, No. 12

Version b
Entry from Alexandria: a geometry-optimized Tc2As structure (PBEsol).

Cell lengths 2.8650, 4.4442, 6.8818 Å; angles 90.00, 102.01, 90.00 degrees
Closest atoms and distances in Å follow each position.
Positions (direct):
As 0.7912 0.7500 0.5824  6 Tc 2.54-2.75
As 0.2088 0.2500 0.4176  6 Tc 2.54-2.75
Tc 0.1172 0.7500 0.2343  4 As 2.54-2.75, 6 Tc 2.66-2.80
Tc 0.4504 0.7500 0.9008  2 As 2.58, 10 Tc 2.59-2.87
Tc 0.5496 0.2500 0.0992  2 As 2.58, 10 Tc 2.59-2.87
Tc 0.8828 0.2500 0.7657  4 As 2.54-2.75, 6 Tc 2.66-2.80

Space group: Cmcm, No. 63

We find version a to be the most stable, with the next structure 9 meV/atom higher.

Version a
Entry from Alexandria: a geometry-optimized TcTeAs structure (PBEsol).

Cell lengths 4.4748, 4.4748, 4.4748 Å; angles 60.00, 60.00, 60.00 degrees
Closest atoms and distances in Å follow each position.
Positions (direct):
As 0.0000 0.0000 0.0000  4 Te 2.74
Te 0.2500 0.2500 0.2500  4 As 2.74, 4 Tc 2.74
Tc 0.5000 0.5000 0.5000  4 Te 2.74

Space group: F-43m, No. 216

Version b
Entry from Alexandria: a geometry-optimized TcTeAs structure (PBEsol).

Cell lengths 3.3683, 3.3683, 5.9507 Å; angles 90.00, 90.00, 120.00 degrees
Closest atoms and distances in Å follow each position.
Positions (direct):
As 0.0000 0.0000 0.9475  3 Tc 2.50
Te 0.3333 0.6667 0.3697  3 Tc 2.69
Tc 0.6667 0.3333 0.6828  3 As 2.50, 3 Te 2.69

Space group: P3m1, No. 156

We find version b to be the most stable, with the next structure 894 meV/atom higher.

Version a
Entry from Alexandria: a geometry-optimized ZnTc2As structure (PBEsol).

Cell lengths 2.9906, 3.9757, 5.4537 Å; angles 111.38, 105.91, 90.00 degrees
Closest atoms and distances in Å follow each position.
Positions (direct):
As 0.2756 0.7756 0.5513  6 Tc 2.46-2.55
Tc 0.9766 0.9766 0.9532  2 As 2.46, 4 Zn 2.54
Tc 0.7200 0.2200 0.4399  4 As 2.55, 2 Zn 2.73, 2 Tc 2.80
Zn 0.5278 0.5278 0.0556  6 Tc 2.54-2.73, 2 As 2.83

Space group: Imm2, No. 44

Version b
Entry from Alexandria: a geometry-optimized ZnTc2As structure (PBEsol).

Cell lengths 3.7752, 3.7752, 4.7429 Å; angles 113.45, 113.45, 90.00 degrees
Closest atoms and distances in Å follow each position.
Positions (direct):
As 0.2500 0.7500 0.5000  8 Tc 2.67-2.72, 4 Zn 2.72
Tc 0.0000 0.0000 0.0000  4 Zn 2.67, 4 As 2.72, 4 Tc 2.72
Tc 0.7500 0.2500 0.5000  4 As 2.67, 4 Tc 2.72, 4 Zn 2.72
Zn 0.5000 0.5000 0.0000  8 Tc 2.67-2.72, 4 As 2.72

Space group: I-4m2, No. 119

We find version a to be the most stable, with the next structure 102 meV/atom higher.

Version a
Entry from Alexandria: a geometry-optimized ZrTc2As2 structure (PBEsol).

Cell lengths 4.2244, 4.2244, 5.5734 Å; angles 112.27, 112.27, 90.00 degrees
Closest atoms and distances in Å follow each position.
Positions (direct):
As 0.3712 0.3712 0.7425  4 Tc 2.40, 1 As 2.42
As 0.6288 0.6288 0.2575  4 Tc 2.40, 1 As 2.42
Tc 0.2500 0.7500 0.5000  4 As 2.40
Tc 0.7500 0.2500 0.5000  4 As 2.40
Zr 0.0000 0.0000 0.0000  8 Tc 3.16, 10 As 3.22-3.49

Space group: I4/mmm, No. 139

Version b
Entry from Alexandria: a geometry-optimized ZrTc2As2 structure (PBEsol).

Cell lengths 4.4527, 4.4527, 5.3707 Å; angles 114.49, 114.49, 90.00 degrees
Closest atoms and distances in Å follow each position.
Positions (direct):
As 0.2500 0.7500 0.5000  4 Tc 2.46
As 0.7500 0.2500 0.5000  4 Tc 2.46
Tc 0.3709 0.3709 0.7418  1 Tc 2.25, 4 As 2.46
Tc 0.6291 0.6291 0.2582  1 Tc 2.25, 4 As 2.46
Zr 0.0000 0.0000 0.0000  8 As 3.11, 10 Tc 3.23-3.34

Space group: I4/mmm, No. 139

We find version a to be the most stable, with the next structure 169 meV/atom higher.